Material: Be2VAu
Method: DFT, GGA-PBE
State: optimized geometry

a b c (Å): 4.0690 4.0690 4.0690
angles (deg): 60.00 60.00 60.00
Atoms (fractional coordinates):
Au: 0.5000 0.5000 0.5000
Be: 0.7500 0.7500 0.7500
Be: 0.2500 0.2500 0.2500
V: 0.0000 0.0000 0.0000

Properties
Density = 9.27 g cm⁻³
Fermi-level density of states = 1.3 states/eV/f.u.
ΔE_f = -0.071 eV/atom